# 1
Material: MoPWS2
Method: DFT, GGA-PBEsol
State: relaxed

a = 4.5462 Å, b = 4.5462 Å, c = 4.7942 Å
α = 90.00°, β = 90.00°, γ = 90.00°
With the nearest neighbours (Å) after each atom.
Fractional positions:
P (0.0000, 0.0000, 0.5000)  2 W 2.40
Mo (0.5000, 0.5000, 0.5000)  4 P 3.21, 8 S 3.30
S (0.0000, 0.5000, 0.0000)  2 W 2.27
S (0.5000, 0.0000, 0.0000)  2 W 2.27
W (0.0000, 0.0000, 0.0000)  4 S 2.27, 2 P 2.40

Output
**Total moment**: 3.9 μB per cell
**E_tot**: -35.76 eV for the cell shown
**Formation energy (no corrections)**: 422.5 kJ/mol of formula units
**Calculated volume**: 19.8 Å³ per atom

# 2
Material: CaPRh
Method: DFT, GGA-PBEsol
State: relaxed

a = 4.0658 Å, b = 6.7767 Å, c = 7.2977 Å
α = 90.00°, β = 90.00°, γ = 90.00°
With the nearest neighbours (Å) after each atom.
Fractional positions:
Ca (0.7500, 0.0111, 0.3195)  5 P 2.86-2.95, 4 Rh 2.93-3.07
Ca (0.2500, 0.4889, 0.8195)  5 P 2.86-2.95, 4 Rh 2.93-3.07
Ca (0.2500, 0.9889, 0.6805)  5 P 2.86-2.95, 4 Rh 2.93-3.07
Ca (0.7500, 0.5111, 0.1805)  5 P 2.86-2.95, 4 Rh 2.93-3.07
P (0.7500, 0.7943, 0.8894)  4 Rh 2.38-2.60
P (0.2500, 0.7057, 0.3894)  4 Rh 2.38-2.60
P (0.2500, 0.2057, 0.1106)  4 Rh 2.38-2.60
P (0.7500, 0.2943, 0.6106)  4 Rh 2.38-2.60
Rh (0.7500, 0.6420, 0.5631)  4 P 2.38-2.60
Rh (0.2500, 0.8580, 0.0631)  4 P 2.38-2.60
Rh (0.2500, 0.3580, 0.4369)  4 P 2.38-2.60
Rh (0.7500, 0.1420, 0.9369)  4 P 2.38-2.60

Output
**Total moment**: 0.0 μB per cell
**Formation energy**: -2.97 eV per formula unit
**E_tot**: -76.13 eV for the cell shown
**Calculated volume**: 16.8 Å³ per atom

# 3
Material: NaPPt2Pb
Method: DFT, GGA-PBEsol
State: relaxed

a = 4.5793 Å, b = 4.7521 Å, c = 4.7521 Å
α = 90.00°, β = 90.00°, γ = 90.00°
With the nearest neighbours (Å) after each atom.
Fractional positions:
Pb (0.5000, 0.5000, 0.5000)  8 Pt 3.30, 4 P 3.36
P (0.5000, 0.0000, 0.0000)  2 Na 2.29
Pt (0.0000, 0.0000, 0.5000)  2 Na 2.38
Pt (0.0000, 0.5000, 0.0000)  2 Na 2.38
Na (0.0000, 0.0000, 0.0000)  2 P 2.29, 4 Pt 2.38

Output
**Total moment**: 0.0 μB per cell
**Formation energy**: 5.93 eV per formula unit
**E_tot**: -19.19 eV for the cell shown
**Calculated volume**: 20.7 Å³ per atom

# 4
Material: Rb3PdRh
Method: DFT, GGA-PBEsol
State: relaxed

a = 5.6085 Å, b = 5.6085 Å, c = 5.6085 Å
α = 90.00°, β = 90.00°, γ = 90.00°
With the nearest neighbours (Å) after each atom.
Fractional positions:
Rh (0.0000, 0.0000, 0.0000)  6 Rb 2.80
Rb (0.0000, 0.5000, 0.0000)  2 Rh 2.80
Rb (0.0000, 0.0000, 0.5000)  2 Rh 2.80
Rb (0.5000, 0.0000, 0.0000)  2 Rh 2.80
Pd (0.5000, 0.5000, 0.5000)  12 Rb 3.97

Output
**Total moment**: 0.0 μB per cell
**Formation energy**: 4.63 eV per formula unit
**E_tot**: -12.54 eV for the cell shown
**Calculated volume**: 35.3 Å³ per atom

# 5
Material: BaSbPt2
Method: DFT, GGA-PBEsol
State: relaxed

a = 5.2233 Å, b = 5.2233 Å, c = 9.4923 Å
α = 105.97°, β = 105.97°, γ = 90.00°
With the nearest neighbours (Å) after each atom.
Fractional positions:
Sb (0.7500, 0.2500, 0.5000)  4 Pt 2.55
Sb (0.5000, 0.5000, 0.0000)  4 Pt 2.55
Ba (0.2500, 0.7500, 0.5000)  8 Pt 3.53-3.76, 4 Sb 3.69
Ba (0.0000, 0.0000, 0.0000)  8 Pt 3.53-3.76, 4 Sb 3.69
Pt (0.5942, 0.8750, 0.2500)  2 Sb 2.55, 2 Pt 2.63
Pt (0.6558, 0.3750, 0.2500)  2 Sb 2.55, 2 Pt 2.63
Pt (0.1250, 0.3442, 0.7500)  2 Sb 2.55, 2 Pt 2.63
Pt (0.6250, 0.4058, 0.7500)  2 Sb 2.55, 2 Pt 2.63

Output
**Total moment**: 0.0 μB per cell
**E_tot**: -45.68 eV for the cell shown
**Formation energy (no corrections)**: -212.8 kJ/mol of formula units
**Calculated volume**: 29.8 Å³ per atom

# 6
Material: InPdAu3
Method: DFT, GGA-PBEsol
State: relaxed

a = 4.9833 Å, b = 4.9833 Å, c = 4.9833 Å
α = 90.00°, β = 90.00°, γ = 90.00°
With the nearest neighbours (Å) after each atom.
Fractional positions:
Au (0.0000, 0.5000, 0.0000)  2 In 2.49
Au (0.0000, 0.0000, 0.5000)  2 In 2.49
Au (0.5000, 0.0000, 0.0000)  2 In 2.49
Pd (0.5000, 0.5000, 0.5000)  12 Au 3.52
In (0.0000, 0.0000, 0.0000)  6 Au 2.49

Output
**Total moment**: 0.0 μB per cell
**Formation energy**: 5.01 eV per formula unit
**E_tot**: -15.70 eV for the cell shown
**Calculated volume**: 24.8 Å³ per atom